The following is a DFT calculation (PBE+U) of a geometry-optimized FeIr2AuO structure.

**Final energy**: -5.359 eV/atom

Cell lengths 4.7956, 4.7956, 3.4204 Å; angles 90.00, 90.00, 90.00 degrees
Space group P4/mmm (No. 123)
Inequivalent atoms, fractional coordinates:
Fe: 0.0000 0.0000 0.0000
Ir: 0.0000 0.5000 0.0000
Au: 0.5000 0.5000 0.5000
O: 0.0000 0.0000 0.5000